1.
CrCoAg2 | GGA-PBEsol | relaxed

Results
As for the total energy: -5.563 eV per atom. For the energy of formation from the pure elements, the calculation gives 0.5876 eV/atom. Its energy above the lowest structure with this stoichiometry is 0.055 eV/atom.

Unit cell a=4.760 b=4.760 c=2.749 alpha=90.00 beta=90.00 gamma=110.99
Element x y z (fractional)
1 Cr 0.000 0.000 0.000
2 Co 0.500 0.500 0.000
3 Ag 0.000 0.500 0.500
4 Ag 0.500 0.000 0.500


2.
ReIN2O | GGA-PBEsol | relaxed

Results
As for the total energy: -7.079 eV per atom.

Unit cell a=4.038 b=4.038 c=3.830 alpha=90.00 beta=90.00 gamma=90.00
Element x y z (fractional)
1 Re 0.000 0.000 0.000
2 I 0.500 0.500 0.500
3 N 0.000 0.500 0.000
4 N 0.500 0.000 0.000
5 O 0.000 0.000 0.500


3.
MnAs4Au | GGA-PBEsol | relaxed

Results
As for the total energy: -5.087 eV per atom. For the energy of formation from the pure elements, the calculation gives 0.5977 eV/atom.

Unit cell a=5.434 b=5.434 c=5.434 alpha=60.00 beta=60.00 gamma=60.00
Element x y z (fractional)
1 Mn 0.000 0.000 0.000
2 As 0.376 0.376 0.376
3 As 0.376 0.376 0.871
4 As 0.376 0.871 0.376
5 As 0.871 0.376 0.376
6 Au 0.750 0.750 0.750


4.
Sr2CaMg | GGA-PBEsol | relaxed

Results
As for the total energy: -1.836 eV per atom. For the energy of formation from the pure elements, the calculation gives 0.0466 eV/atom.

Unit cell a=3.958 b=5.910 c=7.412 alpha=90.00 beta=105.54 gamma=90.00
Element x y z (fractional)
1 Sr 0.000 0.000 0.000
2 Sr 0.338 0.500 0.676
3 Ca 0.609 0.500 0.218
4 Mg 0.732 0.000 0.469


5.
KHg2Au | GGA-PBEsol | relaxed

Results
As for the total energy: -1.676 eV per atom. For the energy of formation from the pure elements, the calculation gives -0.1283 eV/atom. Its energy above the lowest structure with this stoichiometry is 0.051 eV/atom.

Unit cell a=6.128 b=6.128 c=6.128 alpha=145.20 beta=128.51 gamma=63.65
Element x y z (fractional)
1 K 0.000 0.000 0.000
2 Hg 0.286 0.786 0.500
3 Hg 0.714 0.214 0.500
4 Au 0.500 0.500 0.000


6.
YHfAg2Sn | GGA-PBEsol | relaxed

Results
As for the total energy: -4.809 eV per atom. For the energy of formation from the pure elements, the calculation gives 0.8325 eV/atom.

Unit cell a=4.949 b=4.949 c=5.571 alpha=90.00 beta=90.00 gamma=90.00
Element x y z (fractional)
1 Y 0.000 0.000 0.000
2 Hf 0.500 0.500 0.000
3 Ag 0.000 0.500 0.500
4 Ag 0.500 0.000 0.500
5 Sn 0.000 0.000 0.500